Entry 1:
{
  "formula": "La6Pm3Dy2Mg",
  "functional": "GGA-PBE",
  "state": "relaxed",
  "lattice": [[-1.594, 6.158, 0.460], [-1.847, -4.129, 4.496], [10.858, 1.384, 4.209]],
  "species": ["La", "La", "La", "La", "La", "La", "Pm", "Pm", "Pm", "Dy", "Dy", "Mg"],
  "frac_coords": [[0.082, 0.413, 0.245], [0.587, 0.918, 0.755], [0.751, 0.751, 0.246], [0.413, 0.082, 0.245], [0.249, 0.249, 0.754], [0.918, 0.587, 0.755], [0.168, 0.832, 0.500], [0.832, 0.168, 0.500], [0.500, 0.500, 0.500], [0.333, 0.667, 0.000], [0.667, 0.333, 0.000], [0.000, 0.000, 0.000]]
}



Entry 2:
{
  "formula": "La2Pm5DyMg",
  "functional": "GGA-PBE",
  "state": "relaxed",
  "lattice": [[5.604, 0.000, 0.000], [-2.802, 10.136, 0.000], [0.000, 0.000, 10.784]],
  "species": ["La", "La", "La", "La", "Pm", "Pm", "Pm", "Pm", "Pm", "Pm", "Pm", "Pm", "Pm", "Pm", "Mg", "Mg", "Dy", "Dy"],
  "frac_coords": [[0.116, 0.232, 0.717], [0.884, 0.768, 0.800], [0.116, 0.232, 0.300], [0.884, 0.768, 0.217], [0.985, 0.971, 0.508], [0.713, 0.426, 0.812], [0.620, 0.240, 0.508], [0.287, 0.574, 0.312], [0.500, 0.000, 0.258], [0.713, 0.426, 0.204], [0.500, 0.000, 0.758], [0.287, 0.574, 0.704], [0.015, 0.029, 0.008], [0.380, 0.760, 0.008], [0.405, 0.809, 0.508], [0.595, 0.191, 0.008], [0.202, 0.404, 0.008], [0.798, 0.596, 0.508]]
}



Entry 3:
{
  "formula": "La6PmDy2Mg",
  "functional": "GGA-PBE",
  "state": "relaxed",
  "lattice": [[8.988, -2.090, -2.169], [0.858, 8.633, -1.017], [0.858, -1.337, 8.589]],
  "species": ["La", "La", "La", "La", "La", "La", "La", "La", "La", "La", "La", "La", "Dy", "Dy", "Dy", "Dy", "Pm", "Pm", "Mg", "Mg"],
  "frac_coords": [[0.329, 0.035, 0.456], [0.082, 0.080, 0.743], [0.401, 0.561, 0.322], [0.918, 0.920, 0.257], [0.099, 0.678, 0.439], [0.582, 0.743, 0.080], [0.829, 0.456, 0.035], [0.171, 0.544, 0.965], [0.599, 0.439, 0.678], [0.901, 0.322, 0.561], [0.671, 0.965, 0.544], [0.418, 0.257, 0.920], [0.096, 0.264, 0.199], [0.596, 0.199, 0.264], [0.904, 0.736, 0.801], [0.404, 0.801, 0.736], [0.750, 0.070, 0.930], [0.250, 0.930, 0.070], [0.750, 0.596, 0.404], [0.250, 0.404, 0.596]]
}



The energy relative to the elements results, record by record, are as follows: 0.027; 0.083; 0.089 eV/atom.